Here is crystalline Li2ErPd4 at its relaxed geometry from Alexandria. Energies are from GGA-PBE.

Unit cell a=5.4168 b=5.4168 c=5.4168 alpha=115.00 beta=106.78 gamma=106.78
With the nearest neighbours (Å) after each atom.
Fractional coordinates of all 7 atoms:
Li 0.5000 0.5000 0.0000  8 Pd 2.71, 2 Li 2.91
Li 0.5000 0.0000 0.5000  8 Pd 2.71, 2 Li 2.91
Er 0.0000 0.0000 0.0000  8 Pd 2.71
Pd 0.5000 0.0000 0.0000  4 Li 2.71, 2 Er 2.71, 2 Pd 2.91
Pd 0.5000 0.5000 0.5000  4 Li 2.71, 2 Er 2.71, 2 Pd 2.91
Pd 0.0000 0.0000 0.5000  4 Li 2.71, 2 Er 2.71, 2 Pd 2.91
Pd 0.0000 0.5000 0.0000  2 Er 2.71, 4 Li 2.71, 2 Pd 2.91

SG ... I4/mmm (139)
Formation energy from the elements ... -0.39 eV/atom
Excess energy over the best structure of this formula in the dataset ... 0.1663 eV per atom

Here is crystalline BePt2Se at its relaxed geometry from Alexandria. Energies are from GGA-PBE.

Unit cell a=5.5851 b=5.5851 c=5.5851 alpha=150.02 beta=135.81 gamma=54.32
With the nearest neighbours (Å) after each atom.
Fractional coordinates of all 4 atoms:
Be 0.2500 0.7500 0.5000  4 Pt 2.31, 4 Se 2.55
Se 0.7500 0.2500 0.5000  4 Be 2.55, 4 Pt 2.77
Pt 0.0681 0.0681 0.0000  2 Be 2.31
Pt 0.4319 0.4319 0.0000  2 Be 2.31

Uncorrected formation energy ... -83 meV per atom
SG ... Immm (71)
Excess energy over the best structure of this formula in the dataset ... 0.1582 eV per atom

Here is crystalline MoBr at its relaxed geometry from Alexandria. Energies are from GGA-PBE.

Unit cell a=5.0843 b=5.0843 c=5.0843 alpha=131.33 beta=131.33 gamma=71.28
With the nearest neighbours (Å) after each atom.
Fractional coordinates of all 4 atoms:
Mo 0.5000 0.5000 0.0000  4 Mo 2.94, 8 Br 2.94-2.96
Mo 0.7500 0.2500 0.5000  4 Mo 2.94, 8 Br 2.94-2.96
Br 0.0000 0.0000 0.0000  8 Mo 2.94-2.96, 4 Br 2.94
Br 0.2500 0.7500 0.5000  8 Mo 2.94-2.96, 4 Br 2.94

Uncorrected formation energy ... 1152 meV per atom
SG ... I4_1/amd (141)
Excess energy over the best structure of this formula in the dataset ... 1.2257 eV per atom

Here is crystalline Si2NiCl at its relaxed geometry from Alexandria. Energies are from GGA-PBE.

Unit cell a=3.2075 b=3.6040 c=7.3880 alpha=90.00 beta=101.83 gamma=90.00
With the nearest neighbours (Å) after each atom.
Fractional coordinates of all 4 atoms:
Si 0.3912 0.5000 0.9587  2 Si 2.38, 4 Ni 2.41
Si 0.2898 0.0000 0.7435  1 Cl 2.06, 2 Ni 2.25
Ni 0.8933 0.0000 0.9625  6 Si 2.25-2.41
Cl 0.1564 0.0000 0.4593  1 Si 2.06

Uncorrected formation energy ... -135 meV per atom
SG ... Pm (6)
Excess energy over the best structure of this formula in the dataset ... 0.1894 eV per atom

Here is crystalline Ca3Br at its relaxed geometry from Alexandria. Energies are from GGA-PBE.

Unit cell a=6.8481 b=6.8481 c=6.8481 alpha=116.63 beta=116.63 gamma=116.63
With the nearest neighbours (Å) after each atom.
Fractional coordinates of all 4 atoms:
Ca 0.5000 0.0000 0.5000  2 Br 3.60, 6 Ca 3.60-3.82
Ca 0.5000 0.5000 0.0000  6 Ca 3.60-3.82, 2 Br 3.60
Ca 0.0000 0.5000 0.5000  6 Ca 3.60-3.82, 2 Br 3.60
Br 0.0000 0.0000 0.0000  6 Ca 3.60, 2 Br 3.82

Uncorrected formation energy ... -409 meV per atom
SG ... R-3m (166)
Excess energy over the best structure of this formula in the dataset ... 0.2623 eV per atom

Here is crystalline RbCd2Pt at its relaxed geometry from Alexandria. Energies are from GGA-PBE.

Unit cell a=5.2072 b=5.2072 c=5.2072 alpha=60.00 beta=60.00 gamma=60.00
With the nearest neighbours (Å) after each atom.
Fractional coordinates of all 4 atoms:
Rb 0.0000 0.0000 0.0000  8 Cd 3.19
Pt 0.5000 0.5000 0.5000  8 Cd 3.19
Cd 0.2500 0.2500 0.2500  4 Pt 3.19, 4 Rb 3.19
Cd 0.7500 0.7500 0.7500  4 Pt 3.19, 4 Rb 3.19

SG ... Fm-3m (225)
Formation energy from the elements ... 0.17 eV/atom
Excess energy over the best structure of this formula in the dataset ... 0.3815 eV per atom

Here is crystalline CaCdSb at its relaxed geometry from Alexandria. Energies are from GGA-PBE.

Unit cell a=5.1786 b=5.1786 c=5.1786 alpha=60.00 beta=60.00 gamma=60.00
With the nearest neighbours (Å) after each atom.
Fractional coordinates of all 3 atoms:
Sb 0.7500 0.7500 0.7500  4 Ca 3.17, 4 Cd 3.17
Ca 0.0000 0.0000 0.0000  4 Sb 3.17
Cd 0.5000 0.5000 0.5000  4 Sb 3.17

Uncorrected formation energy ... -393 meV per atom
SG ... F-43m (216)
Excess energy over the best structure of this formula in the dataset ... 0.2186 eV per atom

Here is crystalline Hg6Br2ClO2 at its relaxed geometry from Alexandria. Energies are from GGA-PBE.

Unit cell a=6.6599 b=5.9110 c=10.4153 alpha=111.96 beta=90.00 gamma=124.29
With the nearest neighbours (Å) after each atom.
Fractional coordinates of all 11 atoms:
Hg 0.8198 0.6396 0.5983  1 O 2.11
Hg 0.2152 0.8386 0.1109  1 O 2.23
Hg 0.3766 0.1614 0.8891  1 O 2.23
Hg 0.7848 0.1614 0.8891  1 O 2.23
Hg 0.6234 0.8386 0.1109  1 O 2.23
Hg 0.1802 0.3604 0.4017  1 O 2.11
Br 0.7735 0.5470 0.3365  1 Hg 2.55
Br 0.2265 0.4530 0.6635  1 Hg 2.55
Cl 0.5000 0.0000 0.5000  2 Hg 2.81
O 0.9636 0.9271 0.8227  3 Hg 2.11-2.23
O 0.0364 0.0729 0.1773  3 Hg 2.11-2.23

Uncorrected formation energy ... -221 meV per atom
SG ... C2/m (12)

Here is crystalline Hf2SnH2 at its relaxed geometry from Alexandria. Energies are from GGA-PBE.

Unit cell a=3.8065 b=3.8065 c=5.4857 alpha=69.70 beta=69.70 gamma=90.00
With the nearest neighbours (Å) after each atom.
Fractional coordinates of all 5 atoms:
H 0.7500 0.2500 0.5000  4 Hf 2.07
H 0.2500 0.7500 0.5000  4 Hf 2.07
Hf 0.3346 0.3346 0.3309  4 H 2.07
Hf 0.6654 0.6654 0.6691  4 H 2.07
Sn 0.0000 0.0000 0.0000  8 H 3.06, 10 Hf 3.12-3.20

SG ... I4/mmm (139)
Excess energy over the best structure of this formula in the dataset ... 0.0000 eV per atom

Here is crystalline In6Hg6Pb at its relaxed geometry from Alexandria. Energies are from GGA-PBE.

Unit cell a=8.2581 b=8.2581 c=8.2581 alpha=134.98 beta=104.64 gamma=92.32
With the nearest neighbours (Å) after each atom.
Fractional coordinates of all 13 atoms:
In 0.5000 0.5000 0.5000  4 Hg 3.02-3.25, 4 In 3.16-3.30
In 0.5000 0.0000 0.0000  4 Hg 3.02-3.25, 4 In 3.16-3.30
In 0.0000 0.5000 0.0000  4 Hg 3.02-3.25, 4 In 3.16-3.30
In 0.0000 0.0000 0.5000  4 Hg 3.02-3.25, 4 In 3.16-3.30
In 0.7076 0.5000 0.2076  6 Hg 3.14-3.34, 4 In 3.30
In 0.2924 0.5000 0.7924  6 Hg 3.14-3.34, 4 In 3.30
Hg 0.7046 0.7046 0.0000  6 In 3.02-3.14, 1 Pb 3.38
Hg 0.2954 0.2954 0.0000  6 In 3.02-3.14, 1 Pb 3.38
Hg 0.3443 0.0000 0.3443  1 Hg 3.14, 6 In 3.20-3.40, 1 Pb 3.48
Hg 0.6557 0.0000 0.6557  1 Hg 3.14, 6 In 3.20-3.40, 1 Pb 3.48
Hg 0.1367 0.6367 0.5000  1 Hg 3.13, 6 In 3.25-3.34
Hg 0.8633 0.3633 0.5000  1 Hg 3.13, 6 In 3.25-3.34
Pb 0.0000 0.0000 0.0000  8 Hg 3.38-3.53

SG ... Immm (71)
Formation energy from the elements ... 0.06 eV/atom
Excess energy over the best structure of this formula in the dataset ... 0.0000 eV per atom

Here is crystalline CoPdRh2 at its relaxed geometry from Alexandria. Energies are from GGA-PBE.

Unit cell a=2.7092 b=2.7092 c=8.8549 alpha=81.20 beta=81.20 gamma=60.00
With the nearest neighbours (Å) after each atom.
Fractional coordinates of all 4 atoms:
Co 0.5000 0.5000 0.4999  6 Rh 2.56, 6 Co 2.71
Pd 0.6666 0.6666 0.0001  6 Pd 2.71, 6 Rh 2.81
Rh 0.0891 0.0891 0.7326  3 Co 2.56, 6 Rh 2.71, 3 Pd 2.81
Rh 0.2442 0.2442 0.2675  3 Co 2.56, 6 Rh 2.71, 3 Pd 2.81

SG ... R3m (160)
Formation energy from the elements ... 0.04 eV/atom
Excess energy over the best structure of this formula in the dataset ... 0.0000 eV per atom

Here is crystalline SrZnMo2 at its relaxed geometry from Alexandria. Energies are from GGA-PBE.

Unit cell a=4.7639 b=4.7639 c=4.7639 alpha=119.96 beta=119.96 gamma=90.07
With the nearest neighbours (Å) after each atom.
Fractional coordinates of all 4 atoms:
Mo 0.0000 0.0000 0.0000  4 Mo 2.92, 4 Zn 2.92
Mo 0.2500 0.7500 0.5000  4 Mo 2.92, 4 Sr 2.92
Sr 0.5000 0.5000 0.0000  4 Zn 2.92, 4 Mo 2.92
Zn 0.7500 0.2500 0.5000  4 Mo 2.92, 4 Sr 2.92

SG ... I-4m2 (119)
Formation energy from the elements ... 0.78 eV/atom

| no. | D(E_F) (states/eV/cell) | raw total energy (eV per cell) | spin magnetization (μB per formula unit) |
| --- | --- | --- | --- |
| 1 | 2.09 | -31.926 | 0.0 |
| 2 | 1.72 | -19.622 | 0.0 |
| 3 | 2.57 | -20.401 | 0.0 |
| 4 | 1.11 | -19.014 | 0.0 |
| 5 | 2.47 | -9.315 | 0.0 |
| 6 | 1.48 | -8.170 | 0.0 |
| 7 | 2.81 | -8.218 | 0.0 |
| 8 | 3.15 | -19.348 | 0.0 |
| 9 | 1.33 | -32.487 | 0.0 |
| 10 | 5.89 | -21.122 | 0.0 |
| 11 | 5.44 | -26.825 | 2.9 |
| 12 | 4.63 | -21.504 | 0.0 |